Here is SrUCrO6 after structural relaxation from Alexandria via LeMat-Bulk. Energies are from GGA+U.

```
data_SrUCrO6
_chemical_formula_sum 'Sr2 U2 Cr2 O12'
_cell_length_a 5.4147
_cell_length_b 5.4147
_cell_length_c 10.6908
_cell_angle_alpha 90.00
_cell_angle_beta 90.00
_cell_angle_gamma 120.00
_symmetry_space_group_name_H-M 'P -3 1 c'
_symmetry_Int_Tables_number 163
_symmetry_space_group_name_Hall '-P 3 2c'
loop_
_atom_site_label
_atom_site_fract_x
_atom_site_fract_y
_atom_site_fract_z
Sr1 0.0000 0.0000 0.0000
U1 0.3333 0.6667 0.2500
Cr1 0.3333 0.6667 0.7500
O1 0.0149 0.3788 0.6488
```

Computed properties:
E ... -8.198 eV per atom
Spin magnetization ... 0.2222 μB/atom
Crystal system ... trigonal